No. 1
First-principles (GGA-PBE) data for a relaxed BeSb3Pb crystal, as listed in Alexandria.

a = 5.0611 Å, b = 5.0611 Å, c = 5.0611 Å
α = 90.00°, β = 90.00°, γ = 90.00°
Positions (direct):
Be1 0.0000 0.0000 0.0000
Sb1 0.0000 0.0000 0.5000
Sb2 0.0000 0.5000 0.0000
Sb3 0.5000 0.0000 0.0000
Pb1 0.5000 0.5000 0.5000

Results
Formation energy (no corrections): 0.360 eV/atom
Spin magnetization: 0.00 μB per cell
Density of states at the Fermi level: 4.035 states/eV/cell
Symmetry: Pm-3m

No. 2
First-principles (GGA-PBE) data for a relaxed BeSbPb2 crystal, as listed in Alexandria.

a = 4.9985 Å, b = 4.9985 Å, c = 4.2336 Å
α = 90.00°, β = 90.00°, γ = 90.00°
Positions (direct):
Be1 0.0000 0.0000 0.0000
Sb1 0.5000 0.5000 0.0000
Pb1 0.0000 0.5000 0.5000
Pb2 0.5000 0.0000 0.5000

Results
Formation energy (no corrections): 0.540 eV/atom
Spin magnetization: 0.00 μB per cell
Density of states at the Fermi level: 2.228 states/eV/cell
Symmetry: P4/mmm

No. 3
First-principles (GGA-PBE) data for a relaxed BeSbPb crystal, as listed in Alexandria.

a = 6.7483 Å, b = 6.7483 Å, c = 6.7483 Å
α = 151.05°, β = 151.05°, γ = 41.41°
Positions (direct):
Be1 0.0000 0.0000 0.0000
Sb1 0.6040 0.6040 0.0000
Pb1 0.3511 0.3511 0.0000

Results
Formation energy (no corrections): 0.413 eV/atom
Spin magnetization: 0.00 μB per cell
Density of states at the Fermi level: 1.325 states/eV/cell
Symmetry: I4mm

No. 4
First-principles (GGA-PBE) data for a relaxed BeSbPb2 crystal, as listed in Alexandria.

a = 3.4442 Å, b = 3.4442 Å, c = 9.3112 Å
α = 90.00°, β = 90.00°, γ = 108.76°
Positions (direct):
Be1 0.0000 0.0000 0.0000
Sb1 0.5000 0.5000 0.1521
Pb1 0.0000 0.0000 0.4660
Pb2 0.5000 0.5000 0.7885

Results
Formation energy (no corrections): 0.327 eV/atom
Spin magnetization: 0.00 μB per cell
Density of states at the Fermi level: 2.221 states/eV/cell
Symmetry: Cmm2

No. 5
First-principles (GGA-PBE) data for a relaxed Be2SbPb2 crystal, as listed in Alexandria.

a = 8.5826 Å, b = 8.5826 Å, c = 3.1983 Å
α = 90.00°, β = 90.00°, γ = 90.00°
Positions (direct):
Be1 0.0901 0.4099 0.0000
Be2 0.4099 0.9099 0.0000
Be3 0.5901 0.0901 0.0000
Be4 0.9099 0.5901 0.0000
Sb1 0.0000 0.0000 0.5000
Sb2 0.5000 0.5000 0.5000
Pb1 0.2034 0.7034 0.5000
Pb2 0.2966 0.2034 0.5000
Pb3 0.7034 0.7966 0.5000
Pb4 0.7966 0.2966 0.5000

Results
Formation energy (no corrections): 0.695 eV/atom
Spin magnetization: 0.00 μB per cell
Density of states at the Fermi level: 5.696 states/eV/cell
Symmetry: P4/mbm

No. 6
First-principles (GGA-PBE) data for a relaxed Be4SbPb crystal, as listed in Alexandria.

a = 5.0886 Å, b = 5.0886 Å, c = 5.0886 Å
α = 60.00°, β = 60.00°, γ = 60.00°
Positions (direct):
Be1 0.1252 0.1252 0.1252
Be2 0.1252 0.1252 0.6245
Be3 0.1252 0.6245 0.1252
Be4 0.6245 0.1252 0.1252
Sb1 0.5000 0.5000 0.5000
Pb1 0.7500 0.7500 0.7500

Results
Formation energy (no corrections): 0.663 eV/atom
Spin magnetization: 0.00 μB per cell
Density of states at the Fermi level: 0.985 states/eV/cell
Symmetry: F-43m

No. 7
First-principles (GGA-PBE) data for a relaxed BeSb2Pb crystal, as listed in Alexandria.

a = 6.1973 Å, b = 6.1973 Å, c = 6.1973 Å
α = 144.50°, β = 129.96°, γ = 62.85°
Positions (direct):
Be1 0.0000 0.0000 0.0000
Sb1 0.5023 0.5023 0.0000
Sb2 0.8518 0.3518 0.5000
Pb1 0.1915 0.6915 0.5000

Results
Formation energy (no corrections): 0.375 eV/atom
Spin magnetization: 0.00 μB per cell
Density of states at the Fermi level: 1.872 states/eV/cell
Symmetry: Imm2

No. 8
First-principles (GGA-PBE) data for a relaxed BeSbPb2 crystal, as listed in Alexandria.

a = 5.1234 Å, b = 5.1234 Å, c = 4.1301 Å
α = 90.11°, β = 90.11°, γ = 100.87°
Positions (direct):
Be1 0.0000 0.0000 0.0000
Sb1 0.5000 0.5000 0.0000
Pb1 0.0000 0.5000 0.5000
Pb2 0.5000 0.0000 0.5000

Results
Formation energy (no corrections): 0.536 eV/atom
Spin magnetization: 0.00 μB per cell
Density of states at the Fermi level: 1.748 states/eV/cell
Symmetry: C2/m

No. 9
First-principles (GGA-PBE) data for a relaxed BeSb2Pb crystal, as listed in Alexandria.

a = 7.9852 Å, b = 7.9852 Å, c = 7.9852 Å
α = 28.03°, β = 28.03°, γ = 28.03°
Positions (direct):
Be1 0.0000 0.0000 0.0000
Sb1 0.2756 0.2756 0.2756
Sb2 0.7244 0.7244 0.7244
Pb1 0.5000 0.5000 0.5000

Results
Formation energy (no corrections): 0.182 eV/atom
Spin magnetization: 0.00 μB per cell
Density of states at the Fermi level: 1.562 states/eV/cell
Symmetry: R-3m

No. 10
First-principles (GGA-PBE) data for a relaxed BeSb2Pb crystal, as listed in Alexandria.

a = 3.4231 Å, b = 3.4231 Å, c = 9.1387 Å
α = 90.00°, β = 90.00°, γ = 110.99°
Positions (direct):
Be1 0.0000 0.0000 0.0000
Sb1 0.5000 0.5000 0.1783
Sb2 0.5000 0.5000 0.8217
Pb1 0.0000 0.0000 0.5000

Results
Formation energy (no corrections): 0.296 eV/atom
Spin magnetization: 0.00 μB per cell
Density of states at the Fermi level: 1.804 states/eV/cell
Symmetry: Cmmm

No. 11
First-principles (GGA-PBE) data for a relaxed BeSbPb3 crystal, as listed in Alexandria.

a = 5.1662 Å, b = 5.1662 Å, c = 5.1662 Å
α = 90.00°, β = 90.00°, γ = 90.00°
Positions (direct):
Be1 0.0000 0.0000 0.0000
Sb1 0.5000 0.5000 0.5000
Pb1 0.0000 0.0000 0.5000
Pb2 0.0000 0.5000 0.0000
Pb3 0.5000 0.0000 0.0000

Results
Formation energy (no corrections): 0.314 eV/atom
Spin magnetization: 0.00 μB per cell
Density of states at the Fermi level: 2.014 states/eV/cell
Symmetry: Pm-3m

No. 12
First-principles (GGA-PBE) data for a relaxed BeSb2Pb crystal, as listed in Alexandria.

a = 5.4898 Å, b = 5.4898 Å, c = 5.4898 Å
α = 127.45°, β = 127.45°, γ = 77.51°
Positions (direct):
Be1 0.0000 0.0000 0.0000
Sb1 0.2500 0.7500 0.5000
Sb2 0.7500 0.2500 0.5000
Pb1 0.5000 0.5000 0.0000

Results
Formation energy (no corrections): 0.577 eV/atom
Spin magnetization: 0.00 μB per cell
Density of states at the Fermi level: 1.438 states/eV/cell
Symmetry: I4/mmm

No. 13
First-principles (GGA-PBE) data for a relaxed BeSb2Pb crystal, as listed in Alexandria.

a = 5.8087 Å, b = 5.8087 Å, c = 5.8087 Å
α = 141.76°, β = 118.83°, γ = 74.48°
Positions (direct):
Be1 0.0000 0.0000 0.0000
Sb1 0.1740 0.6740 0.5000
Sb2 0.8260 0.3260 0.5000
Pb1 0.5000 0.5000 0.0000

Results
Formation energy (no corrections): 0.297 eV/atom
Spin magnetization: 0.00 μB per cell
Density of states at the Fermi level: 2.382 states/eV/cell
Symmetry: Immm

No. 14
First-principles (GGA-PBE) data for a relaxed BeSbPb2 crystal, as listed in Alexandria.

a = 5.3013 Å, b = 5.3013 Å, c = 5.3013 Å
α = 60.00°, β = 60.00°, γ = 60.00°
Positions (direct):
Be1 0.0000 0.0000 0.0000
Sb1 0.2500 0.2500 0.2500
Pb1 0.5000 0.5000 0.5000
Pb2 0.7500 0.7500 0.7500

Results
Formation energy (no corrections): 0.588 eV/atom
Spin magnetization: 0.00 μB per cell
Density of states at the Fermi level: 2.941 states/eV/cell
Symmetry: F-43m

No. 15
First-principles (GGA-PBE) data for a relaxed BeSbPb2 crystal, as listed in Alexandria.

a = 8.1501 Å, b = 8.1501 Å, c = 8.1501 Å
α = 154.43°, β = 153.00°, γ = 37.52°
Positions (direct):
Be1 0.0000 0.0000 0.0000
Sb1 0.5000 0.5000 0.0000
Pb1 0.1689 0.6689 0.5000
Pb2 0.8311 0.3311 0.5000

Results
Formation energy (no corrections): 0.282 eV/atom
Spin magnetization: 0.00 μB per cell
Density of states at the Fermi level: 2.127 states/eV/cell
Symmetry: Immm